No. 1
Here is a geometry-optimized DyB4Pd structure from OQMD via LeMat-Bulk. Energies are from PBE.

Calculated values
Final energy in eV per atom: -6.302
Space-group type: P6/mmm, No. 191
Crystal system: hexagonal
Offset from the most stable computed form in eV per atom: 0.021

abc: 3.216 3.216 6.945
angles: 90.00 90.00 120.00
Element x y z (fractional)
B: 0.667 0.333 0.731
B: 0.667 0.333 0.269
B: 0.333 0.667 0.731
B: 0.333 0.667 0.269
Dy: 0.000 0.000 0.000
Pd: 0.000 0.000 0.500

=====

No. 2
Here is a geometry-optimized DyBPd structure from OQMD via LeMat-Bulk. Energies are from PBE.

Calculated values
Final energy in eV per atom: -5.627
Space-group type: F-43m, No. 216
Crystal system: cubic
Offset from the most stable computed form in eV per atom: 0.000

abc: 4.183 4.183 4.183
angles: 60.00 60.00 60.00
Element x y z (fractional)
Dy: 0.250 0.250 0.250
Pd: 0.750 0.750 0.750
B: 0.000 0.000 0.000

=====

No. 3
Here is a geometry-optimized DyB4Pd structure from OQMD via LeMat-Bulk. Energies are from PBE.

Calculated values
Final energy in eV per atom: -6.323
Space-group type: Immm, No. 71
Crystal system: orthorhombic
Offset from the most stable computed form in eV per atom: 0.000

abc: 4.932 4.932 4.932
angles: 142.67 114.59 77.80
Element x y z (fractional)
Dy: 0.000 0.000 0.000
B: 0.418 0.743 0.676
B: 0.067 0.743 0.324
B: 0.933 0.257 0.676
B: 0.582 0.257 0.324
Pd: 0.500 0.500 0.000

=====

No. 4
Here is a geometry-optimized DyBPd3 structure from OQMD via LeMat-Bulk. Energies are from PBE.

Calculated values
Final energy in eV per atom: -6.054
Space-group type: P4mm, No. 99
Crystal system: tetragonal

abc: 4.011 4.011 4.929
angles: 90.00 90.00 90.00
Element x y z (fractional)
Pd: 0.500 0.000 0.502
Pd: 0.000 0.500 0.502
Pd: 0.500 0.500 0.099
Dy: 0.000 0.000 0.995
B: 0.500 0.500 0.674

=====

No. 5
Here is a geometry-optimized PmDyB structure from OQMD via LeMat-Bulk. Energies are from PBE.

Calculated values
Final energy in eV per atom: -5.211
Space-group type: F-43m, No. 216
Crystal system: cubic
Offset from the most stable computed form in eV per atom: 0.000

abc: 4.586 4.586 4.586
angles: 60.00 60.00 60.00
Element x y z (fractional)
Pm: 0.750 0.750 0.750
Dy: 0.250 0.250 0.250
B: 0.000 0.000 0.000

=====

No. 6
Here is a geometry-optimized PmDyB4 structure from OQMD via LeMat-Bulk. Energies are from PBE.

Calculated values
Final energy in eV per atom: -6.467
Space-group type: P6/mmm, No. 191
Crystal system: hexagonal
Offset from the most stable computed form in eV per atom: 0.000

abc: 3.311 3.311 7.940
angles: 90.00 90.00 120.00
Element x y z (fractional)
B: 0.333 0.667 0.741
B: 0.333 0.667 0.259
B: 0.667 0.333 0.741
B: 0.667 0.333 0.259
Pm: 0.000 0.000 0.000
Dy: 0.000 0.000 0.500

=====

No. 7
Here is a geometry-optimized PmDyB4 structure from OQMD via LeMat-Bulk. Energies are from PBE.

Calculated values
Final energy in eV per atom: -6.454
Space-group type: Immm, No. 71
Crystal system: orthorhombic
Offset from the most stable computed form in eV per atom: 0.013

abc: 5.171 5.171 5.171
angles: 142.62 112.53 79.76
Element x y z (fractional)
B: 0.082 0.749 0.333
B: 0.415 0.749 0.667
B: 0.585 0.251 0.333
B: 0.918 0.251 0.667
Pm: 0.500 0.500 0.000
Dy: 0.000 0.000 0.000

=====

No. 8
Here is a geometry-optimized PrDyB4 structure from OQMD via LeMat-Bulk. Energies are from PBE.

Calculated values
Final energy in eV per atom: -6.414
Space-group type: P6/mmm, No. 191
Crystal system: hexagonal
Offset from the most stable computed form in eV per atom: 0.000

abc: 3.314 3.314 8.070
angles: 90.00 90.00 120.00
Element x y z (fractional)
B: 0.333 0.667 0.264
B: 0.667 0.333 0.736
B: 0.667 0.333 0.264
B: 0.333 0.667 0.736
Dy: 0.000 0.000 0.500
Pr: 0.000 0.000 0.000

=====

No. 9
Here is a geometry-optimized PrDyB4 structure from OQMD via LeMat-Bulk. Energies are from PBE.

Calculated values
Final energy in eV per atom: -6.383
Space-group type: Immm, No. 71
Crystal system: orthorhombic
Offset from the most stable computed form in eV per atom: 0.032

abc: 5.227 5.227 5.227
angles: 143.00 113.14 78.95
Element x y z (fractional)
B: 0.586 0.252 0.334
B: 0.081 0.747 0.334
B: 0.919 0.252 0.666
B: 0.414 0.747 0.666
Pr: 0.500 0.500 0.000
Dy: 0.000 0.000 0.000

=====

No. 10
Here is a geometry-optimized PrDyB structure from OQMD via LeMat-Bulk. Energies are from PBE.

Calculated values
Final energy in eV per atom: -5.183
Space-group type: F-43m, No. 216
Crystal system: cubic

abc: 4.627 4.627 4.627
angles: 60.00 60.00 60.00
Element x y z (fractional)
B: 0.000 0.000 0.000
Dy: 0.250 0.250 0.250
Pr: 0.750 0.750 0.750

=====

No. 11
Here is a geometry-optimized DyBPt structure from OQMD via LeMat-Bulk. Energies are from PBE.

Calculated values
Final energy in eV per atom: -6.073
Space-group type: F-43m, No. 216
Crystal system: cubic
Offset from the most stable computed form in eV per atom: 0.000

abc: 4.166 4.166 4.166
angles: 60.00 60.00 60.00
Element x y z (fractional)
B: 0.000 0.000 0.000
Pt: 0.750 0.750 0.750
Dy: 0.250 0.250 0.250

=====

No. 12
Here is a geometry-optimized DyBPt structure from OQMD via LeMat-Bulk. Energies are from PBE.

Calculated values
Final energy in eV per atom: -5.689
Space-group type: F-43m, No. 216
Crystal system: cubic
Offset from the most stable computed form in eV per atom: 0.384

abc: 4.355 4.355 4.355
angles: 60.00 60.00 60.00
Element x y z (fractional)
Pt: 0.000 0.000 0.000
B: 0.250 0.250 0.250
Dy: 0.750 0.750 0.750